[1]
# Na3Sr8Hg2

A relaxed Na3Sr8Hg2 crystal (PBE, Alexandria via LeMat-Bulk).

Energy in eV/atom: -1.468
Formation energy from the elements in meV per atom: -82.5
Spin magnetization in μB/atom: 0.000

Cell lengths 10.8175, 10.8175, 6.2844 Å; angles 90.00, 90.00, 126.20 degrees
Positions (direct):
Na (0.0000, 0.0000, 0.0000)
Na (0.3290, 0.3290, 0.5000)
Na (0.6710, 0.6710, 0.5000)
Sr (0.1109, 0.8891, 0.5000)
Sr (0.1410, 0.4096, 0.0000)
Sr (0.3041, 0.6959, 0.5000)
Sr (0.4096, 0.1410, 0.0000)
Sr (0.5904, 0.8590, 0.0000)
Sr (0.6959, 0.3041, 0.5000)
Sr (0.8590, 0.5904, 0.0000)
Sr (0.8891, 0.1109, 0.5000)
Hg (0.2319, 0.7681, 0.0000)
Hg (0.7681, 0.2319, 0.0000)

=====

[2]
# AcPmGe4

A relaxed AcPmGe4 crystal (PBE, Alexandria via LeMat-Bulk).

Distance to the lowest polymorph of the same formula in eV per atom: 0.0271
Energy in eV/atom: -5.118
Formation energy from the elements in meV per atom: -563.7
Spin magnetization in μB/atom: 0.000

Cell lengths 7.8515, 17.7893, 4.3309 Å; angles 90.00, 90.00, 90.00 degrees
Positions (direct):
Ac (0.1423, 0.1692, 0.0000)
Ac (0.3577, 0.6692, 0.0000)
Ac (0.6423, 0.3308, 0.0000)
Ac (0.8577, 0.8308, 0.0000)
Pm (0.1441, 0.4151, 0.0000)
Pm (0.3559, 0.9151, 0.0000)
Pm (0.6441, 0.0849, 0.0000)
Pm (0.8559, 0.5849, 0.0000)
Ge (0.0240, 0.6828, 0.5000)
Ge (0.0774, 0.9350, 0.5000)
Ge (0.1587, 0.5405, 0.5000)
Ge (0.1994, 0.8025, 0.5000)
Ge (0.3006, 0.3025, 0.5000)
Ge (0.3413, 0.0405, 0.5000)
Ge (0.4226, 0.4350, 0.5000)
Ge (0.4760, 0.1828, 0.5000)
Ge (0.5240, 0.8172, 0.5000)
Ge (0.5774, 0.5651, 0.5000)
Ge (0.6587, 0.9595, 0.5000)
Ge (0.6994, 0.6975, 0.5000)
Ge (0.8006, 0.1975, 0.5000)
Ge (0.8413, 0.4595, 0.5000)
Ge (0.9226, 0.0650, 0.5000)
Ge (0.9760, 0.3172, 0.5000)

=====

| no. | calculated density (g/cm3) |
| --- | --- |
| 1 | 3.277 |
| 2 | 7.275 |